Ce2ScGe2 after structural relaxation. Source: Alexandria, functional PBE.

Cell: 5.3830 3.1950 7.7943 Å, 90.00 110.20 90.00°
Site moments in Bohr magnetons follow the coordinates.
Fractional coordinates of all 5 atoms:
Ce 0.3362 0.0000 0.6724  0.75
Ce 0.6638 0.0000 0.3276  0.75
Sc 0.0000 0.0000 0.0000  -0.01
Ge 0.1553 0.5000 0.3107  -0.02
Ge 0.8447 0.5000 0.6893  -0.02

Values from the calculation:
DOS(E_F) = 2.585 states/eV/atom
energy of formation from the pure elements = -0.4573 eV per atom
raw total energy = -29.72 eV for the cell shown
offset from the most stable computed form = 251.1 meV/atom

---

Nd2Sm3Tm5 after structural relaxation. Source: Alexandria, functional PBE.

Cell: 9.3998 9.3796 11.1324 Å, 125.09 125.13 68.66°
Fractional coordinates of all 20 atoms:
Nd 0.7669 0.0290 0.7475
Nd 0.2331 0.9710 0.2525
Nd 0.4806 0.7185 0.7475
Nd 0.5194 0.2815 0.2525
Sm 0.2285 0.9785 0.9570
Sm 0.7715 0.0215 0.0430
Sm 0.7223 0.4856 0.2566
Sm 0.2777 0.5144 0.7434
Sm 0.0342 0.7709 0.2566
Sm 0.9658 0.2291 0.7434
Tm 0.2690 0.5190 0.0380
Tm 0.7310 0.4810 0.9620
Tm 0.0264 0.7764 0.5527
Tm 0.5229 0.2729 0.5459
Tm 0.9736 0.2236 0.4473
Tm 0.4771 0.7271 0.4541
Tm 0.8804 0.6258 0.7337
Tm 0.1196 0.3742 0.2663
Tm 0.3533 0.1079 0.7337
Tm 0.6467 0.8921 0.2663

Values from the calculation:
DOS(E_F) = 1.622 states/eV/atom
energy of formation from the pure elements = 0.1850 eV per atom
raw total energy = -88.40 eV for the cell shown
offset from the most stable computed form = 0.0 meV/atom